Record 1
First-principles (GGA-PBE) data for TiVMo4 after structural relaxation, as listed in the Alexandria database.

Values from the calculation:
energy of formation = -0.15 eV/atom
space-group type = P2/m
energy above the lowest structure with this stoichiometry = 0.002 eV/atom
mass density = 8.7 g/cm3

Lattice parameters (Å, degrees): 4.422 4.422 9.971 102.87 102.87 89.99
Sites, in units of the cell vectors:
1 Mo 0.163 0.163 0.826
2 Mo 0.337 0.337 0.174
3 Mo 0.082 0.582 0.664
4 Mo 0.837 0.837 0.174
5 Mo 0.918 0.418 0.336
6 Mo 0.418 0.918 0.336
7 Mo 0.663 0.663 0.826
8 Mo 0.582 0.082 0.664
9 V 0.000 0.000 0.500
10 V 0.500 0.500 0.500
11 Ti 0.750 0.250 0.000
12 Ti 0.250 0.750 0.000

---

Record 2
First-principles (GGA-PBE) data for Ti2VMo2 after structural relaxation, as listed in the Alexandria database.

Values from the calculation:
energy of formation = 0.29 eV/atom
space-group type = P4/mbm
energy above the lowest structure with this stoichiometry = 0.377 eV/atom
mass density = 6.8 g/cm3

Lattice parameters (Å, degrees): 6.682 6.682 3.723 90.00 90.00 90.00
Sites, in units of the cell vectors:
1 Mo 0.155 0.345 0.000
2 Mo 0.655 0.155 0.000
3 Mo 0.845 0.655 0.000
4 Mo 0.345 0.845 0.000
5 Ti 0.159 0.659 0.500
6 Ti 0.341 0.159 0.500
7 Ti 0.841 0.341 0.500
8 Ti 0.659 0.841 0.500
9 V 0.000 0.000 0.000
10 V 0.500 0.500 0.000